SmY2Ho2Mg, relaxed, DFT PBE-GGA; crystal system = orthorhombic
1.0
-0.225 -0.676 -3.536
6.412 -9.659 1.438
-8.718 -5.547 1.614
Sm Y Ho Mg
2 4 4 2
Direct
0.500 0.500 0.000
0.000 0.000 0.500
0.500 0.070 0.246
0.000 0.570 0.254
0.500 0.930 0.754
0.000 0.430 0.746
0.500 0.772 0.419
0.500 0.228 0.581
0.000 0.728 0.919
0.000 0.272 0.081
0.000 0.000 0.000
0.500 0.500 0.500

---

SmYHoMg, relaxed, DFT PBE-GGA; offset from the most stable computed form = 0.0698 eV per atom; crystal system = cubic
1.0
5.535 0.000 0.000
2.768 4.794 0.000
2.768 1.598 4.520
Y Mg Ho Sm
1 1 1 1
Direct
0.750 0.750 0.750
0.000 0.000 0.000
0.500 0.500 0.500
0.250 0.250 0.250

---

SmHoMgZr, relaxed, DFT PBE-GGA; crystal system = cubic
1.0
-4.432 0.921 2.895
-2.503 -4.074 2.451
0.154 -0.416 5.355
Zr Mg Ho Sm
1 1 1 1
Direct
0.500 0.500 0.500
0.000 0.000 0.000
0.250 0.250 0.250
0.750 0.750 0.750

---

Ho3MgSn, relaxed, DFT PBE-GGA; crystal system = monoclinic
1.0
7.628 1.223 -0.167
-0.584 7.703 -0.167
-2.257 -2.860 9.490
Ho Mg Sn
12 4 4
Direct
0.093 0.747 0.887
0.253 0.907 0.613
0.907 0.253 0.113
0.747 0.093 0.387
0.053 0.364 0.617
0.636 0.947 0.883
0.947 0.636 0.383
0.364 0.053 0.117
0.665 0.691 0.097
0.309 0.335 0.403
0.335 0.309 0.903
0.691 0.665 0.597
0.825 0.448 0.851
0.552 0.175 0.649
0.175 0.552 0.149
0.448 0.825 0.351
0.059 0.941 0.250
0.941 0.059 0.750
0.583 0.417 0.250
0.417 0.583 0.750

---

Record order is preserved below.
Energy of formation from the pure elements: 0.495, 0.037, 0.131, -0.181 eV/atom
Record order is preserved below.
Final energy: -4.2381, -4.3017, -4.7285, -4.0466 eV/atom